LaTa2Pt: optimized geometry, PBE-GGA.

Unit cell a=5.2556 b=5.2556 c=5.8485 alpha=102.60 beta=102.60 gamma=34.22
Fractional positions:
La1 0.0000 0.0000 0.0000
Ta1 0.2086 0.2086 0.6423
Ta2 0.4760 0.4760 0.4815
Pt1 0.7582 0.7582 0.2797

Total magnetic moment in μB/f.u.: 0.000
Crystal system: monoclinic
Space-group type: Cm, No. 8
E_form in eV per formula unit: 0.23
Raw total energy in eV/cell: -34.444

ZnSbAu2: optimized geometry, PBE-GGA.

Unit cell a=5.2735 b=5.2735 c=5.2735 alpha=132.59 beta=132.59 gamma=69.30
Fractional positions:
Zn1 0.0000 0.0000 0.0000
Sb1 0.5000 0.5000 0.0000
Au1 0.2500 0.7500 0.5000
Au2 0.7500 0.2500 0.5000

Formation energy without anion corrections in eV per atom: 0.051
Total magnetic moment in μB/f.u.: 0.000
Crystal system: tetragonal
Space-group type: I4/mmm, No. 139
Raw total energy in eV/cell: -11.748

Ca2Pr4Bi3N2: optimized geometry, PBE-GGA.

Unit cell a=13.5004 b=13.5004 c=13.5004 alpha=158.80 beta=158.80 gamma=30.16
Fractional positions:
Ca1 0.1934 0.1934 0.0000
Ca2 0.8066 0.8066 0.0000
Pr1 0.0879 0.5879 0.5000
Pr2 0.4121 0.9121 0.5000
Pr3 0.5879 0.0879 0.5000
Pr4 0.9121 0.4121 0.5000
Bi1 0.3199 0.3199 0.0000
Bi2 0.5000 0.5000 0.0000
Bi3 0.6801 0.6801 0.0000
N1 0.1030 0.1030 0.0000
N2 0.8970 0.8970 0.0000

Formation energy without anion corrections in eV per atom: -0.973
Total magnetic moment in μB/f.u.: 0.000
Crystal system: tetragonal
Space-group type: I4/mmm, No. 139
Raw total energy in eV/cell: -62.114

La8Rh3I4Cl: optimized geometry, PBE-GGA.

Unit cell a=9.5321 b=9.5321 c=9.5321 alpha=53.26 beta=53.26 gamma=53.26
Fractional positions:
La1 0.2144 0.7401 0.7401
La2 0.2285 0.2285 0.2285
La3 0.2599 0.2599 0.7856
La4 0.2599 0.7856 0.2599
La5 0.7401 0.2144 0.7401
La6 0.7401 0.7401 0.2144
La7 0.7715 0.7715 0.7715
La8 0.7856 0.2599 0.2599
Rh1 0.0000 0.0000 0.5000
Rh2 0.0000 0.5000 0.0000
Rh3 0.5000 0.0000 0.0000
I1 0.0000 0.0000 0.0000
I2 0.0000 0.5000 0.5000
I3 0.5000 0.0000 0.5000
I4 0.5000 0.5000 0.0000
Cl1 0.5000 0.5000 0.5000

Formation energy without anion corrections in eV per atom: -1.081
Total magnetic moment in μB/f.u.: 0.000
Crystal system: trigonal
Space-group type: R-3m, No. 166
Raw total energy in eV/cell: -86.810

Computed density of states at the Fermi level (states/eV per atom) in order:
0.8587, 0.3006, 0.3757, 0.7245